Arrangement w

{
  "formula": "FeRePt2",
  "functional": "meta-GGA SCAN",
  "state": "PBEsol geometry",
  "crystal_system": "orthorhombic",
  "cell": [[2.684, 0.000, 0.000], [0.000, 3.926, 0.000], [0.000, 0.000, 5.302]],
  "species": ["Fe", "Re", "Pt", "Pt"],
  "fractional_positions": [[0.000, 0.000, 0.000], [0.000, 0.000, 0.500], [0.500, 0.500, 0.250], [0.500, 0.500, 0.750]]
}


Arrangement x

{
  "formula": "FeRePt2",
  "functional": "meta-GGA SCAN",
  "state": "PBEsol geometry",
  "crystal_system": "orthorhombic",
  "cell": [[2.675, 0.000, 0.000], [0.000, 4.368, 0.000], [0.000, 0.000, 4.792]],
  "species": ["Fe", "Re", "Pt", "Pt"],
  "fractional_positions": [[0.000, 0.000, 0.000], [0.000, 0.500, 0.314], [0.500, 0.000, 0.488], [0.500, 0.500, 0.826]]
}


What are the relative energies? In eV/atom: arrangement w 0.051; arrangement x 0.000.


Arrangement w

{
  "formula": "TaFe2Pt",
  "functional": "meta-GGA SCAN",
  "state": "PBEsol geometry",
  "crystal_system": "tetragonal",
  "cell": [[3.802, 0.000, 0.000], [0.000, 3.802, 0.000], [0.000, 0.000, 3.660]],
  "species": ["Ta", "Fe", "Fe", "Pt"],
  "fractional_positions": [[0.000, 0.000, 0.000], [0.000, 0.500, 0.500], [0.500, 0.000, 0.500], [0.500, 0.500, 0.000]]
}


Arrangement x

{
  "formula": "TaFe2Pt",
  "functional": "meta-GGA SCAN",
  "state": "PBEsol geometry",
  "crystal_system": "trigonal",
  "cell": [[2.786, 0.000, 0.000], [-1.393, 2.413, 0.000], [0.000, 0.000, 25.070]],
  "species": ["Ta", "Ta", "Ta", "Fe", "Fe", "Fe", "Fe", "Fe", "Fe", "Pt", "Pt", "Pt"],
  "fractional_positions": [[0.000, 0.000, 0.000], [0.333, 0.667, 0.667], [0.667, 0.333, 0.333], [0.000, 0.000, 0.491], [0.000, 0.000, 0.753], [0.333, 0.667, 0.158], [0.333, 0.667, 0.420], [0.667, 0.333, 0.087], [0.667, 0.333, 0.824], [0.000, 0.000, 0.242], [0.333, 0.667, 0.909], [0.667, 0.333, 0.576]]
}


What are the relative energies? In eV/atom: arrangement w 0.000; arrangement x 0.305.


Arrangement w

{
  "formula": "FeTcPt2",
  "functional": "meta-GGA SCAN",
  "state": "PBEsol geometry",
  "crystal_system": "orthorhombic",
  "cell": [[2.665, 0.000, 0.000], [0.000, 4.355, 0.000], [0.000, 0.000, 4.770]],
  "species": ["Fe", "Tc", "Pt", "Pt"],
  "fractional_positions": [[0.000, 0.000, 0.000], [0.000, 0.500, 0.318], [0.500, 0.000, 0.488], [0.500, 0.500, 0.828]]
}


Arrangement x

{
  "formula": "FeTcPt2",
  "functional": "meta-GGA SCAN",
  "state": "PBEsol geometry",
  "crystal_system": "tetragonal",
  "cell": [[2.682, 0.000, 0.000], [0.000, 2.682, 0.000], [0.000, 0.000, 7.680]],
  "species": ["Fe", "Tc", "Pt", "Pt"],
  "fractional_positions": [[0.000, 0.000, 0.000], [0.000, 0.000, 0.500], [0.500, 0.500, 0.245], [0.500, 0.500, 0.755]]
}


What are the relative energies? In eV/atom: arrangement w 0.016; arrangement x 0.000.


Arrangement w

{
  "formula": "FeTe2Pt",
  "functional": "meta-GGA SCAN",
  "state": "PBEsol geometry",
  "crystal_system": "tetragonal",
  "cell": [[5.856, 0.000, 0.000], [0.000, 5.856, 0.000], [0.000, 0.000, 11.529]],
  "species": ["Fe", "Fe", "Fe", "Fe", "Te", "Te", "Te", "Te", "Te", "Te", "Te", "Te", "Pt", "Pt", "Pt", "Pt"],
  "fractional_positions": [[0.000, 0.000, 0.000], [0.000, 0.500, 0.250], [0.500, 0.000, 0.750], [0.500, 0.500, 0.500], [0.232, 0.250, 0.125], [0.250, 0.732, 0.375], [0.250, 0.768, 0.875], [0.268, 0.250, 0.625], [0.732, 0.750, 0.625], [0.750, 0.232, 0.875], [0.750, 0.268, 0.375], [0.768, 0.750, 0.125], [0.000, 0.000, 0.500], [0.000, 0.500, 0.750], [0.500, 0.000, 0.250], [0.500, 0.500, 0.000]]
}


Arrangement x

{
  "formula": "FeTe2Pt",
  "functional": "meta-GGA SCAN",
  "state": "PBEsol geometry",
  "crystal_system": "monoclinic",
  "cell": [[6.820, 0.000, 0.000], [0.000, 3.940, 0.000], [-2.279, 0.000, 6.398]],
  "species": ["Fe", "Fe", "Te", "Te", "Te", "Te", "Pt", "Pt"],
  "fractional_positions": [[0.000, 0.000, 0.000], [0.500, 0.500, 0.000], [0.264, 0.000, 0.791], [0.458, 0.000, 0.374], [0.764, 0.500, 0.791], [0.958, 0.500, 0.374], [0.221, 0.500, 0.163], [0.721, 0.000, 0.163]]
}


What are the relative energies? In eV/atom: arrangement w 0.196; arrangement x 0.000.